(one)
This record from Alexandria via LeMat-Bulk describes CaGa2Br4 after structural relaxation. The functional is PBE-GGA.

a b c (Å): 5.7587 5.7587 15.1957
angles (deg): 90.00 90.00 90.00
Last column: nearest neighbours and their distance in Å.
Space group I4/mmm (No. 139)
One atom of each set of equivalent atoms:
Ca 0.0000 0.0000 0.0000  6 Br 2.86-2.88
Ga 0.0000 0.0000 0.3673  1 Br 2.72
Br 0.0000 0.0000 0.1884  1 Ga 2.72, 1 Ca 2.86
Br 0.0000 0.5000 0.0000  2 Ca 2.88

Summary:
Fermi-level density of states   0.0 states/eV/f.u.

---

(two)
This record from Alexandria via LeMat-Bulk describes CaGa2Br4 after structural relaxation. The functional is PBE-GGA.

a b c (Å): 4.2868 8.1454 8.4361
angles (deg): 118.35 104.64 90.08
Last column: nearest neighbours and their distance in Å.
Space group P-1 (No. 2)
One atom of each set of equivalent atoms:
Ca 0.0000 0.0000 0.0000  6 Br 2.93-2.94
Ga 0.2803 0.3022 0.5613  3 Br 2.98-3.03
Br 0.1274 0.4092 0.2542  1 Ca 2.94, 3 Ga 2.98-3.03
Br 0.3837 0.0202 0.7661  2 Ca 2.93

Summary:
Fermi-level density of states   0.0 states/eV/f.u.

---

The structure with the most favorable energy is (two); the runner-up is 70 meV/atom above it.